Entry 1:
! SmMgCuSn PBE optimized geometry; values from VASP
&SYSTEM
  ibrav = 0, nat = 4, ntyp = 4
/
ATOMIC_SPECIES
Cu 63.55 Cu.upf
Sm 150.36 Sm.upf
Sn 118.71 Sn.upf
Mg 24.30 Mg.upf
CELL_PARAMETERS angstrom
5.0358 0.0000 0.0000
2.5179 4.3611 0.0000
2.5179 1.4537 4.1117
ATOMIC_POSITIONS angstrom
Cu 7.5537 4.3611 3.0838
Sm 0.0000 0.0000 0.0000
Sn 2.5179 1.4537 1.0279
Mg 5.0358 2.9074 2.0559
! Density: 6.56 g/cm³
! Spin magnetization: 0.0 μB/f.u.
! Calculated volume: 22.575 A^3/atom
! ΔE_f: -308 meV per atom
! DFT total energy: -3.911 eV per atom

Entry 2:
! Sm2MgCu4Sn3 PBE optimized geometry; values from VASP
&SYSTEM
  ibrav = 0, nat = 10, ntyp = 4
/
ATOMIC_SPECIES
Sn 118.71 Sn.upf
Mg 24.30 Mg.upf
Cu 63.55 Cu.upf
Sm 150.36 Sm.upf
CELL_PARAMETERS angstrom
-2.0705 3.8235 0.2146
-3.5569 -2.0105 1.5029
3.5583 1.3527 10.2310
ATOMIC_POSITIONS angstrom
Sn -1.3069 -0.8260 2.1072
Sn 1.7792 0.6764 5.1155
Sn 2.0516 3.0852 8.9825
Mg -1.0345 1.5829 5.9743
Cu 0.0000 0.0000 0.0000
Cu 1.2326 2.7739 6.6279
Cu -2.8137 0.9065 0.8587
Cu -0.4879 -0.5146 4.4619
Sm 0.9363 0.0268 8.5568
Sm -0.1916 2.2324 2.5330
! Density: 7.51 g/cm³
! Spin magnetization: 0.0 μB/f.u.
! Calculated volume: 20.688 A^3/atom
! ΔE_f: -397 meV per atom
! DFT total energy: -4.339 eV per atom

Entry 3:
! TbSmMgCu PBE optimized geometry; values from VASP
&SYSTEM
  ibrav = 0, nat = 4, ntyp = 4
/
ATOMIC_SPECIES
Tb 158.93 Tb.upf
Mg 24.30 Mg.upf
Cu 63.55 Cu.upf
Sm 150.36 Sm.upf
CELL_PARAMETERS angstrom
-2.5257 -4.3405 1.3062
1.1687 -4.4843 -2.3347
2.4532 -3.7357 2.6367
ATOMIC_POSITIONS angstrom
Tb 0.5480 -6.2802 0.8041
Mg 0.8221 -9.4203 1.2062
Cu 0.2740 -3.1401 0.4021
Sm 0.0000 0.0000 0.0000
! Density: 6.68 g/cm³
! Spin magnetization: 0.0 μB/f.u.
! Calculated volume: 24.698 A^3/atom
! ΔE_f: -54 meV per atom
! DFT total energy: -3.814 eV per atom

Entry 4:
! SmThMgCu PBE optimized geometry; values from VASP
&SYSTEM
  ibrav = 0, nat = 4, ntyp = 4
/
ATOMIC_SPECIES
Sm 150.36 Sm.upf
Cu 63.55 Cu.upf
Th 232.04 Th.upf
Mg 24.30 Mg.upf
CELL_PARAMETERS angstrom
5.2340 0.0000 0.0000
2.6170 4.5328 0.0000
2.6170 1.5109 4.2736
ATOMIC_POSITIONS angstrom
Sm 2.6170 1.5109 1.0684
Cu 0.0000 0.0000 0.0000
Th 7.8510 4.5328 3.2052
Mg 5.2340 3.0219 2.1368
! Density: 7.70 g/cm³
! Spin magnetization: 0.0 μB/f.u.
! Calculated volume: 25.347 A^3/atom
! ΔE_f: 49 meV per atom
! DFT total energy: -4.409 eV per atom

Entry 5:
! SmMgTlCu PBE optimized geometry; values from VASP
&SYSTEM
  ibrav = 0, nat = 4, ntyp = 4
/
ATOMIC_SPECIES
Sm 150.36 Sm.upf
Cu 63.55 Cu.upf
Mg 24.30 Mg.upf
Tl 204.38 Tl.upf
CELL_PARAMETERS angstrom
5.0370 0.0000 0.0000
2.5185 4.3622 0.0000
2.5185 1.4541 4.1127
ATOMIC_POSITIONS angstrom
Sm 0.0000 0.0000 0.0000
Cu 2.5185 1.4541 1.0282
Mg 5.0370 2.9081 2.0564
Tl 7.5556 4.3622 3.0845
! Density: 8.13 g/cm³
! Spin magnetization: 0.0 μB/f.u.
! Calculated volume: 22.592 A^3/atom
! ΔE_f: -205 meV per atom
! DFT total energy: -3.399 eV per atom

Entry 6:
! SmMgZn2Cu2 PBE optimized geometry; values from VASP
&SYSTEM
  ibrav = 0, nat = 6, ntyp = 4
/
ATOMIC_SPECIES
Cu 63.55 Cu.upf
Zn 65.41 Zn.upf
Mg 24.30 Mg.upf
Sm 150.36 Sm.upf
CELL_PARAMETERS angstrom
4.3508 0.0000 0.0000
-2.1754 3.7679 0.0000
0.0000 0.0000 6.6188
ATOMIC_POSITIONS angstrom
Cu 2.1754 1.2560 1.9297
Cu 0.0000 2.5119 4.6891
Zn 2.1754 1.2560 4.6797
Zn 0.0000 2.5119 1.9391
Mg 0.0000 0.0000 3.3094
Sm 0.0000 0.0000 0.0000
! Density: 6.62 g/cm³
! Spin magnetization: 0.0 μB/f.u.
! Calculated volume: 18.084 A^3/atom
! ΔE_f: -231 meV per atom
! DFT total energy: -3.073 eV per atom

Q: Look up the spin magnetization of the fifth one.
A: 0.0 μB/f.u.